Computed, not measured: crystalline SmTm7Tl2 at its relaxed geometry at the PBE level of DFT.

a = 9.0780 Å, b = 15.2528 Å, c = 5.3609 Å
α = 90.00°, β = 90.00°, γ = 90.00°
Last column: nearest neighbours and their distance in Å.
Space group Cmmm (No. 65)
One atom of each set of equivalent atoms:
Sm 0.0000 0.0000 0.0000 (multiplicity 2)  10 Tm 3.49-3.65
Tm 0.0000 0.2288 0.0000 (multiplicity 4)  2 Tl 2.92
Tm 0.0000 0.5000 0.5000 (multiplicity 2)  2 Tl 2.97
Tm 0.1814 0.1217 0.5000 (multiplicity 8)  2 Tl 3.10-3.25, 2 Tm 3.29-3.44
Tl 0.0000 0.3055 0.5000 (multiplicity 4)  7 Tm 2.92-3.25

---

Computed, not measured: crystalline SmTm5Tl6 at its relaxed geometry at the PBE level of DFT.

a = 9.8673 Å, b = 11.1713 Å, c = 6.4125 Å
α = 90.00°, β = 102.84°, γ = 90.00°
Last column: nearest neighbours and their distance in Å.
Space group C2/m (No. 12)
One atom of each set of equivalent atoms:
Sm 0.0000 0.0000 0.0000 (multiplicity 2)  6 Tl 3.26-3.28
Tm 0.0000 0.1668 0.5000 (multiplicity 4)  6 Tl 3.18-3.23
Tm 0.0000 0.3358 0.0000 (multiplicity 4)  6 Tl 3.21-3.24
Tm 0.0000 0.5000 0.5000 (multiplicity 2)  6 Tl 3.18-3.22
Tl 0.2479 0.3300 0.7463 (multiplicity 8)  5 Tm 3.18-3.24, 1 Sm 3.26
Tl 0.2486 0.5000 0.2588 (multiplicity 4)  5 Tm 3.18-3.21, 1 Sm 3.28

---

Computed, not measured: crystalline Sm3Tm2Tl7 at its relaxed geometry at the PBE level of DFT.

a = 5.0191 Å, b = 28.8046 Å, c = 5.0579 Å
α = 90.00°, β = 90.00°, γ = 90.00°
Last column: nearest neighbours and their distance in Å.
Space group Cmmm (No. 65)
One atom of each set of equivalent atoms:
Sm 0.0000 0.0000 0.0000 (multiplicity 2)  12 Tl 3.42-3.56
Sm 0.0000 0.1530 0.0000 (multiplicity 4)  6 Tl 3.25-3.29, 4 Tm 3.56
Tm 0.0000 0.3431 0.5000 (multiplicity 4)  7 Tl 3.17-3.43
Tl 0.0000 0.0797 0.5000 (multiplicity 4)  4 Sm 3.29-3.42, 2 Tm 3.35, 6 Tl 3.40-3.56
Tl 0.0000 0.2239 0.5000 (multiplicity 4)  2 Tl 2.93, 2 Tm 3.17, 2 Sm 3.25
Tl 0.0000 0.4186 0.0000 (multiplicity 4)  4 Sm 3.25-3.44, 2 Tm 3.33, 6 Tl 3.45-3.56
Tl 0.0000 0.5000 0.5000 (multiplicity 2)  8 Tl 3.40-3.45, 4 Sm 3.56

---

no.,formation enthalpy at 0 K (eV per atom),Fermi-level density of states (states/eV/atom)
1,0.37,1.905
2,-0.23,0.871
3,-0.10,0.931